--- P ---
## Mo2WBr (SCAN)

Data for Mo2WBr at its PBEsol-relaxed geometry.

Lattice parameters (Å, degrees): 3.114 3.790 6.564 90.00 90.00 90.00
Fractional coordinates of all 4 atoms:
Mo1 0.000 0.000 0.000
Mo2 0.500 0.500 0.175
W1 0.000 0.000 0.350
Br1 0.500 0.500 0.761

Computed properties:
**Volume**: 77 Å³/f.u.
**Density of states at the Fermi level**: 2.5 states/eV/f.u.
**Total magnetization**: 0.000 μB per cell

--- Q ---
## Mo2WBr (SCAN)

Data for Mo2WBr at its PBEsol-relaxed geometry.

Lattice parameters (Å, degrees): 5.278 5.278 5.278 138.65 138.65 59.91
Fractional coordinates of all 4 atoms:
Mo1 0.000 0.000 0.000
Mo2 0.750 0.250 0.500
W1 0.500 0.500 0.000
Br1 0.250 0.750 0.500

Computed properties:
**Volume**: 64 Å³/f.u.
**Density of states at the Fermi level**: 3.6 states/eV/f.u.
**Total magnetization**: 0.003 μB per cell

--- R ---
## Mo2WBr (SCAN)

Data for Mo2WBr at its PBEsol-relaxed geometry.

Lattice parameters (Å, degrees): 3.059 3.059 6.923 90.00 90.00 90.00
Fractional coordinates of all 4 atoms:
Mo1 0.000 0.000 0.231
Mo2 0.000 0.000 0.769
W1 0.500 0.500 0.000
Br1 0.500 0.500 0.500

Computed properties:
**Volume**: 65 Å³/f.u.
**Density of states at the Fermi level**: 3.0 states/eV/f.u.
**Total magnetization**: 0.000 μB per cell

Most stable: R (next structure +171 meV per atom)

--- P ---
## YMo2Br (SCAN)

Data for YMo2Br at its PBEsol-relaxed geometry.

Lattice parameters (Å, degrees): 2.980 2.980 9.046 90.00 90.00 110.56
Fractional coordinates of all 4 atoms:
Y1 0.000 0.000 0.000
Mo1 0.500 0.500 0.267
Mo2 0.500 0.500 0.733
Br1 0.000 0.000 0.500

Computed properties:
**Volume**: 75 Å³/f.u.
**Density of states at the Fermi level**: 4.6 states/eV/f.u.
**Total magnetization**: 0.001 μB per cell

--- Q ---
## YMo2Br (SCAN)

Data for YMo2Br at its PBEsol-relaxed geometry.

Lattice parameters (Å, degrees): 3.679 3.679 5.683 90.00 90.00 90.00
Fractional coordinates of all 4 atoms:
Y1 0.000 0.000 0.000
Mo1 0.500 0.500 0.296
Mo2 0.500 0.500 0.704
Br1 0.000 0.000 0.500

Computed properties:
**Volume**: 77 Å³/f.u.
**Density of states at the Fermi level**: 3.6 states/eV/f.u.
**Total magnetization**: 0.000 μB per cell

--- R ---
## YMo2Br (SCAN)

Data for YMo2Br at its PBEsol-relaxed geometry.

Lattice parameters (Å, degrees): 5.448 5.448 3.020 90.00 90.00 122.77
Fractional coordinates of all 4 atoms:
Y1 0.000 0.000 0.000
Mo1 0.000 0.500 0.500
Mo2 0.500 0.000 0.500
Br1 0.500 0.500 0.000

Computed properties:
**Volume**: 75 Å³/f.u.
**Density of states at the Fermi level**: 2.6 states/eV/f.u.
**Total magnetization**: 0.000 μB per cell

Most stable: R (next structure +94 meV per atom)

--- P ---
## YMoBr2 (SCAN)

Data for YMoBr2 at its PBEsol-relaxed geometry.

Lattice parameters (Å, degrees): 9.444 9.444 9.444 19.94 19.94 19.94
Fractional coordinates of all 4 atoms:
Y1 0.000 0.000 0.000
Mo1 0.500 0.500 0.500
Br1 0.410 0.410 0.410
Br2 0.590 0.590 0.590

Computed properties:
**Volume**: 86 Å³/f.u.
**Density of states at the Fermi level**: 3.0 states/eV/f.u.
**Total magnetization**: 0.034 μB per cell

--- Q ---
## YMoBr2 (SCAN)

Data for YMoBr2 at its PBEsol-relaxed geometry.

Lattice parameters (Å, degrees): 6.149 6.149 6.149 142.50 142.50 54.08
Fractional coordinates of all 4 atoms:
Y1 0.000 0.000 0.000
Mo1 0.250 0.750 0.500
Br1 0.500 0.500 0.000
Br2 0.750 0.250 0.500

Computed properties:
**Volume**: 86 Å³/f.u.
**Density of states at the Fermi level**: 2.5 states/eV/f.u.
**Total magnetization**: 3.141 μB per cell

Most stable: P (next structure +151 meV per atom)

--- P ---
## PbSe2BrN (SCAN)

Data for PbSe2BrN at its PBEsol-relaxed geometry.

Lattice parameters (Å, degrees): 5.472 5.472 5.736 90.00 90.00 90.00
Fractional coordinates of all 5 atoms:
Pb1 0.000 0.000 0.000
Se1 0.000 0.500 0.000
Se2 0.500 0.000 0.000
Br1 0.000 0.000 0.500
N1 0.500 0.500 0.500

Computed properties:
**Volume**: 172 Å³/f.u.
**Density of states at the Fermi level**: 4.4 states/eV/f.u.
**Total magnetization**: 4.935 μB per cell

--- Q ---
## PbSe2BrN (SCAN)

Data for PbSe2BrN at its PBEsol-relaxed geometry.

Lattice parameters (Å, degrees): 5.331 5.331 3.816 90.00 90.00 90.00
Fractional coordinates of all 5 atoms:
Pb1 0.000 0.000 0.000
Se1 0.000 0.500 0.500
Se2 0.500 0.000 0.500
Br1 0.500 0.500 0.500
N1 0.500 0.500 0.000

Computed properties:
**Volume**: 108 Å³/f.u.
**Density of states at the Fermi level**: 2.1 states/eV/f.u.
**Total magnetization**: 1.128 μB per cell

Most stable: Q (next structure +119 meV per atom)

--- P ---
## TeSe2BrN (SCAN)

Data for TeSe2BrN at its PBEsol-relaxed geometry.

Lattice parameters (Å, degrees): 5.383 5.383 3.950 90.00 90.00 90.00
Fractional coordinates of all 5 atoms:
Te1 0.000 0.000 0.000
Se1 0.000 0.500 0.000
Se2 0.500 0.000 0.000
Br1 0.500 0.500 0.500
N1 0.000 0.000 0.500

Computed properties:
**Volume**: 114 Å³/f.u.
**Density of states at the Fermi level**: 6.7 states/eV/f.u.
**Total magnetization**: 0.005 μB per cell

--- Q ---
## TeSe2BrN (SCAN)

Data for TeSe2BrN at its PBEsol-relaxed geometry.

Lattice parameters (Å, degrees): 5.326 5.326 3.684 90.00 90.00 90.00
Fractional coordinates of all 5 atoms:
Te1 0.000 0.000 0.000
Se1 0.000 0.500 0.500
Se2 0.500 0.000 0.500
Br1 0.500 0.500 0.500
N1 0.500 0.500 0.000

Computed properties:
**Volume**: 104 Å³/f.u.
**Density of states at the Fermi level**: 3.3 states/eV/f.u.
**Total magnetization**: 0.000 μB per cell

Most stable: P (next structure +332 meV per atom)

--- P ---
## Ta2BrN (SCAN)

Data for Ta2BrN at its PBEsol-relaxed geometry.

Lattice parameters (Å, degrees): 7.055 7.055 7.055 140.17 140.17 57.60
Fractional coordinates of all 8 atoms:
Ta1 0.016 0.625 0.891
Ta2 0.375 0.266 0.391
Ta3 0.734 0.125 0.109
Ta4 0.875 0.984 0.609
Br1 0.250 0.750 0.500
Br2 0.500 0.500 0.000
N1 0.000 0.000 0.000
N2 0.750 0.250 0.500

Computed properties:
**Volume**: 71 Å³/f.u.
**Density of states at the Fermi level**: 3.6 states/eV/f.u.
**Total magnetization**: 0.001 μB per cell

--- Q ---
## Ta2BrN (SCAN)

Data for Ta2BrN at its PBEsol-relaxed geometry.

Lattice parameters (Å, degrees): 4.262 4.262 4.262 60.00 60.00 60.00
Fractional coordinates of all 4 atoms:
Ta1 0.250 0.250 0.250
Ta2 0.750 0.750 0.750
Br1 0.000 0.000 0.000
N1 0.500 0.500 0.500

Computed properties:
**Volume**: 55 Å³/f.u.
**Density of states at the Fermi level**: 3.5 states/eV/f.u.
**Total magnetization**: 1.142 μB per cell

Most stable: P (next structure +767 meV per atom)

--- P ---
## TeBr2N (SCAN)

Data for TeBr2N at its PBEsol-relaxed geometry.

Lattice parameters (Å, degrees): 4.948 4.948 4.948 60.00 60.00 60.00
Fractional coordinates of all 4 atoms:
Te1 0.000 0.000 0.000
Br1 0.250 0.250 0.250
Br2 0.750 0.750 0.750
N1 0.500 0.500 0.500

Computed properties:
**Volume**: 86 Å³/f.u.
**Density of states at the Fermi level**: 2.5 states/eV/f.u.
**Total magnetization**: 1.968 μB per cell

--- Q ---
## TeBr2N (SCAN)

Data for TeBr2N at its PBEsol-relaxed geometry.

Lattice parameters (Å, degrees): 9.704 9.704 9.704 19.41 19.41 19.41
Fractional coordinates of all 4 atoms:
Te1 0.000 0.000 0.000
Br1 0.114 0.114 0.114
Br2 0.886 0.886 0.886
N1 0.500 0.500 0.500

Computed properties:
**Volume**: 88 Å³/f.u.
**Density of states at the Fermi level**: 2.4 states/eV/f.u.
**Total magnetization**: 0.618 μB per cell

Most stable: P (next structure +81 meV per atom)

--- P ---
## NaNb3Br (SCAN)

Data for NaNb3Br at its PBEsol-relaxed geometry.

Lattice parameters (Å, degrees): 4.742 4.742 4.742 90.00 90.00 90.00
Fractional coordinates of all 5 atoms:
Na1 0.000 0.000 0.000
Nb1 0.000 0.000 0.500
Nb2 0.000 0.500 0.000
Nb3 0.500 0.000 0.000
Br1 0.500 0.500 0.500

Computed properties:
**Volume**: 107 Å³/f.u.
**Density of states at the Fermi level**: 4.8 states/eV/f.u.
**Total magnetization**: 0.000 μB per cell

--- Q ---
## NaNb3Br (SCAN)

Data for NaNb3Br at its PBEsol-relaxed geometry.

Lattice parameters (Å, degrees): 4.793 4.793 4.793 90.00 90.00 90.00
Fractional coordinates of all 5 atoms:
Na1 0.000 0.000 0.000
Nb1 0.000 0.500 0.500
Nb2 0.500 0.000 0.500
Nb3 0.500 0.500 0.000
Br1 0.500 0.500 0.500

Computed properties:
**Volume**: 110 Å³/f.u.
**Density of states at the Fermi level**: 8.1 states/eV/f.u.
**Total magnetization**: 0.012 μB per cell

Most stable: Q (next structure +968 meV per atom)

--- P ---
## NaPSe2Br (SCAN)

Data for NaPSe2Br at its PBEsol-relaxed geometry.

Lattice parameters (Å, degrees): 5.070 5.070 4.963 90.00 90.00 90.00
Fractional coordinates of all 5 atoms:
Na1 0.000 0.000 0.000
P1 0.500 0.500 0.500
Se1 0.000 0.500 0.000
Se2 0.500 0.000 0.000
Br1 0.000 0.000 0.500

Computed properties:
**Volume**: 128 Å³/f.u.
**Density of states at the Fermi level**: 3.1 states/eV/f.u.
**Total magnetization**: 1.007 μB per cell

--- Q ---
## NaPSe2Br (SCAN)

Data for NaPSe2Br at its PBEsol-relaxed geometry.

Lattice parameters (Å, degrees): 4.786 4.786 5.364 90.00 90.00 90.00
Fractional coordinates of all 5 atoms:
Na1 0.000 0.000 0.000
P1 0.500 0.500 0.500
Se1 0.000 0.500 0.500
Se2 0.500 0.000 0.500
Br1 0.500 0.500 0.000

Computed properties:
**Volume**: 123 Å³/f.u.
**Density of states at the Fermi level**: 1.6 states/eV/f.u.
**Total magnetization**: 0.000 μB per cell

Most stable: Q (next structure +1079 meV per atom)

--- P ---
## NaTiBr2 (SCAN)

Data for NaTiBr2 at its PBEsol-relaxed geometry.

Lattice parameters (Å, degrees): 4.926 4.926 4.926 60.00 60.00 60.00
Fractional coordinates of all 4 atoms:
Na1 0.000 0.000 0.000
Ti1 0.500 0.500 0.500
Br1 0.250 0.250 0.250
Br2 0.750 0.750 0.750

Computed properties:
**Volume**: 85 Å³/f.u.
**Density of states at the Fermi level**: 3.8 states/eV/f.u.
**Total magnetization**: 2.951 μB per cell

--- Q ---
## NaTiBr2 (SCAN)

Data for NaTiBr2 at its PBEsol-relaxed geometry.

Lattice parameters (Å, degrees): 10.044 10.044 10.044 19.73 19.73 19.73
Fractional coordinates of all 4 atoms:
Na1 0.000 0.000 0.000
Ti1 0.500 0.500 0.500
Br1 0.109 0.109 0.109
Br2 0.891 0.891 0.891

Computed properties:
**Volume**: 101 Å³/f.u.
**Density of states at the Fermi level**: 2.1 states/eV/f.u.
**Total magnetization**: 1.786 μB per cell

Most stable: Q (next structure +143 meV per atom)

--- P ---
## ScNbBr3 (SCAN)

Data for ScNbBr3 at its PBEsol-relaxed geometry.

Lattice parameters (Å, degrees): 5.168 5.168 5.168 90.00 90.00 90.00
Fractional coordinates of all 5 atoms:
Sc1 0.000 0.000 0.000
Nb1 0.500 0.500 0.500
Br1 0.000 0.000 0.500
Br2 0.000 0.500 0.000
Br3 0.500 0.000 0.000

Computed properties:
**Volume**: 138 Å³/f.u.
**Density of states at the Fermi level**: 6.4 states/eV/f.u.
**Total magnetization**: 4.617 μB per cell

--- Q ---
## ScNbBr3 (SCAN)

Data for ScNbBr3 at its PBEsol-relaxed geometry.

Lattice parameters (Å, degrees): 5.107 5.107 5.107 90.00 90.00 90.00
Fractional coordinates of all 5 atoms:
Sc1 0.000 0.000 0.000
Nb1 0.500 0.500 0.500
Br1 0.000 0.500 0.500
Br2 0.500 0.000 0.500
Br3 0.500 0.500 0.000

Computed properties:
**Volume**: 133 Å³/f.u.
**Density of states at the Fermi level**: 6.0 states/eV/f.u.
**Total magnetization**: 4.453 μB per cell

Most stable: P (next structure +153 meV per atom)

--- P ---
## NiP2Br (SCAN)

Data for NiP2Br at its PBEsol-relaxed geometry.

Lattice parameters (Å, degrees): 6.530 6.530 6.530 31.60 31.60 31.60
Fractional coordinates of all 4 atoms:
Ni1 0.000 0.000 0.000
P1 0.285 0.285 0.285
P2 0.715 0.715 0.715
Br1 0.500 0.500 0.500

Computed properties:
**Volume**: 68 Å³/f.u.
**Density of states at the Fermi level**: 2.2 states/eV/f.u.
**Total magnetization**: 0.000 μB per cell

--- Q ---
## NiP2Br (SCAN)

Data for NiP2Br at its PBEsol-relaxed geometry.

Lattice parameters (Å, degrees): 4.354 4.354 3.708 90.00 90.00 114.55
Fractional coordinates of all 4 atoms:
Ni1 0.000 0.000 0.000
P1 0.178 0.822 0.500
P2 0.822 0.178 0.500
Br1 0.500 0.500 0.000

Computed properties:
**Volume**: 64 Å³/f.u.
**Density of states at the Fermi level**: 0.9 states/eV/f.u.
**Total magnetization**: 0.000 μB per cell

Most stable: P (next structure +59 meV per atom)